[1]
Crystalline PmTmHgRu at its relaxed geometry. Source: Alexandria via LeMat-Bulk, functional PBE-GGA.

Cell lengths 7.1606, 7.1606, 7.1606 Å; angles 90.00, 90.00, 90.00 degrees
Space group F-43m (No. 216)
One atom of each set of equivalent atoms:
1 Pm 0.0000 0.0000 0.0000 [4 per cell]
2 Tm 0.0000 0.0000 0.5000 [4 per cell]
3 Hg 0.2500 0.2500 0.2500 [4 per cell]
4 Ru 0.2500 0.2500 0.7500 [4 per cell]

**DOS(E_F)**: 0.9377 states/eV/atom
**ΔH_f (0 K)**: -317 meV/atom
**Relative energy among the computed polymorphs**: 124 meV per atom
**Crystal system**: cubic

[2]
Crystalline PmTmHgRu at its relaxed geometry. Source: Alexandria via LeMat-Bulk, functional PBE-GGA.

Cell lengths 3.4935, 3.4935, 7.5920 Å; angles 90.00, 90.00, 90.00 degrees
Space group P4mm (No. 99)
One atom of each set of equivalent atoms:
1 Pm 0.0000 0.0000 0.0000 [1 per cell]
2 Tm 0.0000 0.0000 0.5597 [1 per cell]
3 Hg 0.5000 0.5000 0.2971 [1 per cell]
4 Ru 0.5000 0.5000 0.7672 [1 per cell]

**DOS(E_F)**: 0.7550 states/eV/atom
**ΔH_f (0 K)**: -441 meV/atom
**Relative energy among the computed polymorphs**: 0 meV per atom
**Crystal system**: tetragonal

[3]
Crystalline Pm2HgS at its relaxed geometry. Source: Alexandria via LeMat-Bulk, functional PBE-GGA.

Cell lengths 3.4725, 3.4725, 8.0506 Å; angles 90.00, 90.00, 90.00 degrees
Space group P4/mmm (No. 123)
One atom of each set of equivalent atoms:
1 Pm 0.0000 0.0000 0.2247 [2 per cell]
2 Hg 0.5000 0.5000 0.5000 [1 per cell]
3 S 0.5000 0.5000 0.0000 [1 per cell]

**Formation energy from raw total energies**: -1.0001 eV/atom
**DOS(E_F)**: 0.8810 states/eV/atom
**Relative energy among the computed polymorphs**: 221 meV per atom
**Crystal system**: tetragonal

[4]
Crystalline Pm2HgS at its relaxed geometry. Source: Alexandria via LeMat-Bulk, functional PBE-GGA.

Cell lengths 3.9661, 3.9661, 23.6300 Å; angles 90.00, 90.00, 120.00 degrees
Space group R3m (No. 160, hexagonal axes)
One atom of each set of equivalent atoms:
1 Pm 0.0000 0.0000 0.0000 [3 per cell]
2 Pm 0.0000 0.0000 0.1944 [3 per cell]
3 Hg 0.0000 0.0000 0.4307 [3 per cell]
4 S 0.0000 0.0000 0.5991 [3 per cell]

**Formation energy from raw total energies**: -1.1708 eV/atom
**DOS(E_F)**: 0.5710 states/eV/atom
**Relative energy among the computed polymorphs**: 50 meV per atom
**Crystal system**: trigonal

[5]
Crystalline Pm2HgS at its relaxed geometry. Source: Alexandria via LeMat-Bulk, functional PBE-GGA.

Cell lengths 4.0300, 4.0300, 22.8301 Å; angles 90.00, 90.00, 120.00 degrees
Space group R-3m (No. 166, hexagonal axes)
One atom of each set of equivalent atoms:
1 Pm 0.0000 0.0000 0.2379 [6 per cell]
2 Hg 0.0000 0.0000 0.0000 [3 per cell]
3 S 0.0000 0.0000 0.5000 [3 per cell]

**Formation energy from raw total energies**: -1.2209 eV/atom
**DOS(E_F)**: 0.4726 states/eV/atom
**Relative energy among the computed polymorphs**: 0 meV per atom
**Crystal system**: trigonal

[6]
Crystalline Pm3HgS at its relaxed geometry. Source: Alexandria via LeMat-Bulk, functional PBE-GGA.

Cell lengths 9.1777, 3.9970, 15.4835 Å; angles 90.00, 90.00, 90.00 degrees
Space group Pnma (No. 62)
One atom of each set of equivalent atoms:
1 Pm 0.0156 0.2500 0.1065 [4 per cell]
2 Pm 0.1624 0.2500 0.5313 [4 per cell]
3 Pm 0.1723 0.7500 0.2970 [4 per cell]
4 Hg 0.1092 0.7500 0.6907 [4 per cell]
5 S 0.1747 0.2500 0.9514 [4 per cell]

**Formation energy from raw total energies**: -0.9877 eV/atom
**DOS(E_F)**: 0.8347 states/eV/atom
**Relative energy among the computed polymorphs**: 0 meV per atom
**Crystal system**: orthorhombic

[7]
Crystalline Pm4Hg2S at its relaxed geometry. Source: Alexandria via LeMat-Bulk, functional PBE-GGA.

Cell lengths 5.3476, 5.3476, 15.1076 Å; angles 90.00, 90.00, 90.00 degrees
Space group I4/mmm (No. 139)
One atom of each set of equivalent atoms:
1 Pm 0.0000 0.0000 0.1873 [4 per cell]
2 Pm 0.0000 0.5000 0.0000 [4 per cell]
3 Hg 0.0000 0.0000 0.3845 [4 per cell]
4 S 0.0000 0.0000 0.0000 [2 per cell]

**Formation energy from raw total energies**: -0.7212 eV/atom
**DOS(E_F)**: 0.4860 states/eV/atom
**Crystal system**: tetragonal

[8]
Crystalline Pm4HgS3 at its relaxed geometry. Source: Alexandria via LeMat-Bulk, functional PBE-GGA.

Cell lengths 8.3497, 11.7070, 4.0820 Å; angles 90.00, 90.00, 90.00 degrees
Space group Cmmm (No. 65)
One atom of each set of equivalent atoms:
1 Pm 0.0000 0.2422 0.0000 [4 per cell]
2 Pm 0.2329 0.0000 0.5000 [4 per cell]
3 Hg 0.0000 0.5000 0.0000 [2 per cell]
4 S 0.0000 0.0000 0.0000 [2 per cell]
5 S 0.2500 0.2500 0.5000 [4 per cell]

**Formation energy from raw total energies**: -1.5914 eV/atom
**DOS(E_F)**: 0.3841 states/eV/atom
**Crystal system**: orthorhombic

[9]
Crystalline Pm2Hg2S at its relaxed geometry. Source: Alexandria via LeMat-Bulk, functional PBE-GGA.

Cell lengths 4.0125, 4.0125, 28.5797 Å; angles 90.00, 90.00, 120.00 degrees
Space group R-3m (No. 166, hexagonal axes)
One atom of each set of equivalent atoms:
1 Pm 0.0000 0.0000 0.1100 [6 per cell]
2 Hg 0.0000 0.0000 0.2996 [6 per cell]
3 S 0.0000 0.0000 0.5000 [3 per cell]

**Formation energy from raw total energies**: -0.9951 eV/atom
**DOS(E_F)**: 0.4775 states/eV/atom
**Crystal system**: trigonal

[10]
Crystalline PmHgS2 at its relaxed geometry. Source: Alexandria via LeMat-Bulk, functional PBE-GGA.

Cell lengths 4.1452, 4.1452, 24.6440 Å; angles 90.00, 90.00, 120.00 degrees
Space group R-3m (No. 166, hexagonal axes)
One atom of each set of equivalent atoms:
1 Pm 0.0000 0.0000 0.0000 [3 per cell]
2 Hg 0.0000 0.0000 0.5000 [3 per cell]
3 S 0.0000 0.0000 0.3941 [6 per cell]

**Formation energy from raw total energies**: -1.1203 eV/atom
**DOS(E_F)**: 0.6999 states/eV/atom
**Crystal system**: trigonal

[11]
Crystalline Pm3HgS at its relaxed geometry. Source: Alexandria via LeMat-Bulk, functional PBE-GGA.

Cell lengths 5.3308, 5.3308, 5.3308 Å; angles 90.00, 90.00, 90.00 degrees
Space group Pm-3m (No. 221)
One atom of each set of equivalent atoms:
1 Pm 0.0000 0.0000 0.5000 [3 per cell]
2 Hg 0.5000 0.5000 0.5000 [1 per cell]
3 S 0.0000 0.0000 0.0000 [1 per cell]

**Formation energy from raw total energies**: -0.8013 eV/atom
**DOS(E_F)**: 0.6766 states/eV/atom
**Relative energy among the computed polymorphs**: 186 meV per atom
**Crystal system**: cubic

[12]
Crystalline Pm4Hg2SeS at its relaxed geometry. Source: Alexandria via LeMat-Bulk, functional PBE-GGA.

Cell lengths 7.0957, 4.0763, 7.9772 Å; angles 90.00, 107.07, 90.00 degrees
Space group P2/m (No. 10)
One atom of each set of equivalent atoms:
1 Pm 0.2324 0.0000 0.2181 [2 per cell]
2 Pm 0.2520 0.5000 0.7768 [2 per cell]
3 Hg 0.0000 0.0000 0.5000 [1 per cell]
4 Hg 0.5000 0.5000 0.5000 [1 per cell]
5 Se 0.5000 0.0000 0.0000 [1 per cell]
6 S 0.0000 0.5000 0.0000 [1 per cell]

**Formation energy from raw total energies**: -1.1702 eV/atom
**DOS(E_F)**: 0.4929 states/eV/atom
**Crystal system**: monoclinic